Record 1
Here is an optimized crystal structure of CsTaSb4 from the Open Quantum Materials Database. Energies are from PBE.

Properties
Volume, A^3/atom: 34.53
Uncorrected energy, eV/atom: -4.974
Symmetry: Cm, No. 8

a = 5.405 Å, b = 5.405 Å, c = 10.648 Å
α = 103.33°, β = 103.33°, γ = 43.44°
Fractional positions:
1 Cs 0.000 0.000 0.000
2 Ta 0.296 0.296 0.432
3 Sb 0.267 0.267 0.696
4 Sb 0.585 0.585 0.407
5 Sb 0.774 0.774 0.236
6 Sb 0.952 0.952 0.620

Record 2
Here is an optimized crystal structure of ZrCd2C from the Open Quantum Materials Database. Energies are from PBE.

Properties
Volume, A^3/atom: 18.68
Uncorrected energy, eV/atom: -3.857
Symmetry: P6_3/mmc, No. 194

a = 3.330 Å, b = 3.330 Å, c = 15.562 Å
α = 90.00°, β = 90.00°, γ = 120.00°
Fractional positions:
1 Zr 0.333 0.667 0.250
2 Zr 0.667 0.333 0.750
3 Cd 0.333 0.667 0.589
4 Cd 0.333 0.667 0.911
5 Cd 0.667 0.333 0.089
6 Cd 0.667 0.333 0.411
7 C 0.000 0.000 0.000
8 C 0.000 0.000 0.500

Record 3
Here is an optimized crystal structure of AuI5 from the Open Quantum Materials Database. Energies are from PBE.

Properties
Volume, A^3/atom: 43.17
Uncorrected energy, eV/atom: -1.815
Symmetry: P-1, No. 2

a = 5.930 Å, b = 9.128 Å, c = 10.442 Å
α = 98.58°, β = 98.77°, γ = 108.45°
Fractional positions:
1 Au 0.181 0.214 0.225
2 Au 0.819 0.786 0.775
3 I 0.010 0.207 0.452
4 I 0.026 0.459 0.189
5 I 0.351 0.219 0.004
6 I 0.360 0.989 0.270
7 I 0.487 0.350 0.637
8 I 0.513 0.650 0.363
9 I 0.640 0.011 0.730
10 I 0.649 0.781 0.996
11 I 0.974 0.541 0.811
12 I 0.990 0.793 0.548

Record 4
Here is an optimized crystal structure of TlInMo4N2 from the Open Quantum Materials Database. Energies are from PBE.

Properties
Volume, A^3/atom: 15.20
Uncorrected energy, eV/atom: -8.063
Symmetry: P-6m2, No. 187

a = 3.232 Å, b = 3.232 Å, c = 13.439 Å
α = 90.00°, β = 90.00°, γ = 120.00°
Fractional positions:
1 Tl 0.000 0.000 0.000
2 In 0.667 0.333 0.500
3 Mo 0.000 0.000 0.327
4 Mo 0.000 0.000 0.673
5 Mo 0.667 0.333 0.178
6 Mo 0.667 0.333 0.822
7 N 0.333 0.667 0.251
8 N 0.333 0.667 0.749

Record 5
Here is an optimized crystal structure of ZnInCoCu from the Open Quantum Materials Database. Energies are from PBE.

Properties
Volume, A^3/atom: 14.13
Symmetry: F-43m, No. 216
Offset from the most stable computed form, meV/atom: 0

a = 4.307 Å, b = 4.307 Å, c = 4.307 Å
α = 60.00°, β = 60.00°, γ = 60.00°
Fractional positions:
1 Zn 0.000 0.000 0.000
2 In 0.500 0.500 0.500
3 Co 0.750 0.750 0.750
4 Cu 0.250 0.250 0.250

Record 6
Here is an optimized crystal structure of Er3HfC2S2 from the Open Quantum Materials Database. Energies are from PBE.

Properties
Volume, A^3/atom: 17.46
Uncorrected energy, eV/atom: -7.582
Symmetry: P3m1, No. 156

a = 3.576 Å, b = 3.576 Å, c = 12.608 Å
α = 90.00°, β = 90.00°, γ = 120.00°
Fractional positions:
1 Er 0.000 0.000 0.000
2 Er 0.000 0.000 0.296
3 Er 0.667 0.333 0.506
4 Hf 0.667 0.333 0.799
5 C 0.333 0.667 0.403
6 C 0.333 0.667 0.886
7 S 0.000 0.000 0.662
8 S 0.667 0.333 0.146

Record 7
Here is an optimized crystal structure of YLuMgPd from the Open Quantum Materials Database. Energies are from PBE.

Properties
Volume, A^3/atom: 23.13
Symmetry: F-43m, No. 216
Offset from the most stable computed form, meV/atom: 0

a = 5.077 Å, b = 5.077 Å, c = 5.077 Å
α = 60.00°, β = 60.00°, γ = 60.00°
Fractional positions:
1 Y 0.000 0.000 0.000
2 Lu 0.500 0.500 0.500
3 Mg 0.250 0.250 0.250
4 Pd 0.750 0.750 0.750

Record 8
Here is an optimized crystal structure of SmBeNO from the Open Quantum Materials Database. Energies are from PBE.

Properties
Volume, A^3/atom: 10.98
Symmetry: Pca2_1, No. 29
Offset from the most stable computed form, meV/atom: 130

a = 5.388 Å, b = 6.568 Å, c = 4.965 Å
α = 90.00°, β = 90.00°, γ = 90.00°
Fractional positions:
1 Sm 0.042 0.216 0.000
2 Sm 0.458 0.216 0.500
3 Sm 0.542 0.784 0.000
4 Sm 0.958 0.784 0.500
5 Be 0.083 0.596 0.019
6 Be 0.417 0.596 0.519
7 Be 0.583 0.404 0.019
8 Be 0.917 0.404 0.519
9 N 0.156 0.514 0.700
10 N 0.344 0.514 0.200
11 N 0.656 0.486 0.700
12 N 0.844 0.486 0.200
13 O 0.005 0.850 0.009
14 O 0.495 0.850 0.509
15 O 0.505 0.150 0.009
16 O 0.995 0.150 0.509

Record 9
Here is an optimized crystal structure of NaTbInSe3 from the Open Quantum Materials Database. Energies are from PBE.

Properties
Volume, A^3/atom: 27.81
Uncorrected energy, eV/atom: -4.218
Symmetry: Cmcm, No. 63

a = 7.503 Å, b = 7.503 Å, c = 10.882 Å
α = 90.00°, β = 90.00°, γ = 146.99°
Fractional positions:
1 Na 0.246 0.754 0.750
2 Na 0.754 0.246 0.250
3 Tb 0.000 0.000 0.000
4 Tb 0.000 0.000 0.500
5 In 0.473 0.527 0.250
6 In 0.527 0.473 0.750
7 Se 0.095 0.905 0.250
8 Se 0.364 0.636 0.049
9 Se 0.364 0.636 0.451
10 Se 0.636 0.364 0.549
11 Se 0.636 0.364 0.951
12 Se 0.905 0.095 0.750

Record 10
Here is an optimized crystal structure of BaIrPb from the Open Quantum Materials Database. Energies are from PBE.

Properties
Volume, A^3/atom: 30.58
Uncorrected energy, eV/atom: -4.780
Symmetry: F-43m, No. 216

a = 5.063 Å, b = 5.063 Å, c = 5.063 Å
α = 60.00°, β = 60.00°, γ = 60.00°
Fractional positions:
1 Ba 0.000 0.000 0.000
2 Ir 0.250 0.250 0.250
3 Pb 0.500 0.500 0.500

Record 11
Here is an optimized crystal structure of LiTc2 from the Open Quantum Materials Database. Energies are from PBE.

Properties
Volume, A^3/atom: 15.93
Uncorrected energy, eV/atom: -7.059
Symmetry: Fd-3m, No. 227

a = 5.132 Å, b = 5.132 Å, c = 5.132 Å
α = 60.00°, β = 60.00°, γ = 60.00°
Fractional positions:
1 Li 0.125 0.125 0.125
2 Li 0.875 0.875 0.875
3 Tc 0.000 0.500 0.500
4 Tc 0.500 0.000 0.500
5 Tc 0.500 0.500 0.000
6 Tc 0.500 0.500 0.500

Record 12
Here is an optimized crystal structure of RbTmHfSe3 from the Open Quantum Materials Database. Energies are from PBE.

Properties
Volume, A^3/atom: 29.75
Symmetry: Cmcm, No. 63
Offset from the most stable computed form, meV/atom: 0

a = 8.115 Å, b = 8.115 Å, c = 10.778 Å
α = 90.00°, β = 90.00°, γ = 149.81°
Fractional positions:
1 Rb 0.245 0.755 0.750
2 Rb 0.755 0.245 0.250
3 Tm 0.500 0.500 0.000
4 Tm 0.500 0.500 0.500
5 Hf 0.030 0.970 0.250
6 Hf 0.970 0.030 0.750
7 Se 0.121 0.879 0.052
8 Se 0.121 0.879 0.448
9 Se 0.433 0.567 0.250
10 Se 0.567 0.433 0.750
11 Se 0.879 0.121 0.552
12 Se 0.879 0.121 0.948

Record 13
Here is an optimized crystal structure of BaNaU from the Open Quantum Materials Database. Energies are from PBE.

Properties
Volume, A^3/atom: 42.42
Symmetry: F-43m, No. 216
Offset from the most stable computed form, meV/atom: 0

a = 5.646 Å, b = 5.646 Å, c = 5.646 Å
α = 60.00°, β = 60.00°, γ = 60.00°
Fractional positions:
1 Ba 0.000 0.000 0.000
2 Na 0.250 0.250 0.250
3 U 0.500 0.500 0.500

Record 14
Here is an optimized crystal structure of NdYZn2Ge2 from the Open Quantum Materials Database. Energies are from PBE.

Properties
Volume, A^3/atom: 21.18
Symmetry: P6_3/mmc, No. 194
Offset from the most stable computed form, meV/atom: 0

a = 4.270 Å, b = 4.270 Å, c = 16.093 Å
α = 90.00°, β = 90.00°, γ = 120.00°
Fractional positions:
1 Nd 0.000 0.000 0.000
2 Nd 0.000 0.000 0.500
3 Y 0.000 0.000 0.250
4 Y 0.000 0.000 0.750
5 Zn 0.333 0.667 0.150
6 Zn 0.333 0.667 0.350
7 Zn 0.667 0.333 0.650
8 Zn 0.667 0.333 0.850
9 Ge 0.333 0.667 0.618
10 Ge 0.333 0.667 0.882
11 Ge 0.667 0.333 0.118
12 Ge 0.667 0.333 0.382

Record 15
Here is an optimized crystal structure of Dy2Y2CI2Br3 from the Open Quantum Materials Database. Energies are from PBE.

Properties
Volume, A^3/atom: 28.97
Symmetry: C2/m, No. 12
Offset from the most stable computed form, meV/atom: 12

a = 9.502 Å, b = 9.502 Å, c = 8.212 Å
α = 101.36°, β = 101.36°, γ = 23.51°
Fractional positions:
1 Dy 0.001 0.001 0.301
2 Dy 0.999 0.999 0.699
3 Y 0.369 0.369 0.439
4 Y 0.631 0.631 0.561
5 C 0.500 0.500 0.500
6 I 0.165 0.165 0.850
7 I 0.835 0.835 0.150
8 Br 0.164 0.164 0.324
9 Br 0.500 0.500 0.000
10 Br 0.836 0.836 0.676

Record 16
Here is an optimized crystal structure of NaNdSO from the Open Quantum Materials Database. Energies are from PBE.

Properties
Volume, A^3/atom: 21.22
Symmetry: Pca2_1, No. 29
Offset from the most stable computed form, meV/atom: 169

a = 5.843 Å, b = 10.038 Å, c = 5.788 Å
α = 90.00°, β = 90.00°, γ = 90.00°
Fractional positions:
1 Na 0.092 0.072 0.000
2 Na 0.408 0.072 0.500
3 Na 0.592 0.928 0.000
4 Na 0.908 0.928 0.500
5 Nd 0.002 0.673 0.077
6 Nd 0.498 0.673 0.577
7 Nd 0.502 0.327 0.077
8 Nd 0.998 0.327 0.577
9 S 0.004 0.639 0.581
10 S 0.496 0.639 0.081
11 S 0.504 0.361 0.581
12 S 0.996 0.361 0.081
13 O 0.043 0.124 0.615
14 O 0.457 0.124 0.115
15 O 0.543 0.876 0.615
16 O 0.957 0.876 0.115

Record 17
Here is an optimized crystal structure of ErReNO from the Open Quantum Materials Database. Energies are from PBE.

Properties
Volume, A^3/atom: 13.85
Symmetry: Pca2_1, No. 29
Offset from the most stable computed form, meV/atom: 0

a = 5.440 Å, b = 8.245 Å, c = 4.940 Å
α = 90.00°, β = 90.00°, γ = 90.00°
Fractional positions:
1 Er 0.012 0.156 0.000
2 Er 0.488 0.156 0.500
3 Er 0.512 0.844 0.000
4 Er 0.988 0.844 0.500
5 Re 0.122 0.514 0.187
6 Re 0.378 0.514 0.687
7 Re 0.622 0.486 0.187
8 Re 0.878 0.486 0.687
9 N 0.105 0.656 0.856
10 N 0.395 0.656 0.356
11 N 0.605 0.344 0.856
12 N 0.895 0.344 0.356
13 O 0.140 0.067 0.622
14 O 0.360 0.067 0.122
15 O 0.640 0.933 0.622
16 O 0.860 0.933 0.122

Record 18
Here is an optimized crystal structure of TbMo from the Open Quantum Materials Database. Energies are from PBE.

Properties
Volume, A^3/atom: 21.35
Symmetry: P-6m2, No. 187
Formation energy from the elements, meV per atom: 752.7
Offset from the most stable computed form, meV/atom: 0

a = 3.089 Å, b = 3.089 Å, c = 5.167 Å
α = 90.00°, β = 90.00°, γ = 120.00°
Fractional positions:
1 Tb 0.000 0.000 0.000
2 Mo 0.333 0.667 0.500

Record 19
Here is an optimized crystal structure of TmPdPt from the Open Quantum Materials Database. Energies are from PBE.

Properties
Volume, A^3/atom: 21.94
Symmetry: F-43m, No. 216
Formation energy from the elements, meV per atom: -767.8
Offset from the most stable computed form, meV/atom: 0

a = 4.532 Å, b = 4.532 Å, c = 4.532 Å
α = 60.00°, β = 60.00°, γ = 60.00°
Fractional positions:
1 Tm 0.000 0.000 0.000
2 Pd 0.500 0.500 0.500
3 Pt 0.750 0.750 0.750

Record 20
Here is an optimized crystal structure of Ac2Os2O5 from the Open Quantum Materials Database. Energies are from PBE.

Properties
Volume, A^3/atom: 14.89
Symmetry: P4/mmm, No. 123
Offset from the most stable computed form, meV/atom: 1357

a = 3.803 Å, b = 3.803 Å, c = 9.265 Å
α = 90.00°, β = 90.00°, γ = 90.00°
Fractional positions:
1 Ac 0.000 0.000 0.210
2 Ac 0.000 0.000 0.790
3 Os 0.500 0.500 0.000
4 Os 0.500 0.500 0.500
5 O 0.000 0.000 0.500
6 O 0.000 0.500 0.371
7 O 0.000 0.500 0.629
8 O 0.500 0.000 0.371
9 O 0.500 0.000 0.629